A plane-wave DFT calculation with PBE was carried out for Cu2HAu after structural relaxation.

Calculated values
Polymorph energy (0 for the lowest one): 2.3 meV per atom
Symmetry: Cm, No. 8

a = 2.832 Å, b = 2.832 Å, c = 6.713 Å
α = 77.69°, β = 77.69°, γ = 60.09°
Fractional coordinates of all 4 atoms:
H 0.669 0.669 0.997
Cu 0.280 0.280 0.160
Cu 0.052 0.052 0.844
Au 0.499 0.499 0.500